(1)
# Dy2BeIr3 (PBE, relaxed)
# **Crystal system**: trigonal
# **N(E_F)**: 3.091 states/eV/f.u.
# **Relative energy among the computed polymorphs**: 0.0 meV/atom
data_Dy2BeIr3
_space_group_name_H-M_alt 'R -3 m'
_space_group_IT_number 166
_space_group_name_Hall '-R 3 2"'
_cell_length_a 5.5106
_cell_length_b 5.5106
_cell_length_c 11.6368
_cell_angle_alpha 90.00
_cell_angle_beta 90.00
_cell_angle_gamma 120.00
loop_
_atom_site_label
_atom_site_type_symbol
_atom_site_fract_x
_atom_site_fract_y
_atom_site_fract_z
Dy1 Dy 0.0000 0.0000 0.1275
Be1 Be 0.0000 0.0000 0.5000
Ir1 Ir 0.0000 0.5000 0.0000

***

(2)
# DyBe3Ir (PBE, relaxed)
# **VASP energy**: -5.23 eV/atom
# **Crystal system**: cubic
# **N(E_F)**: 1.724 states/eV/f.u.
data_DyBe3Ir
_space_group_name_H-M_alt 'P m -3 m'
_space_group_IT_number 221
_space_group_name_Hall '-P 4 2 3'
_cell_length_a 4.259
_cell_length_b 4.259
_cell_length_c 4.259
_cell_angle_alpha 90.00
_cell_angle_beta 90.00
_cell_angle_gamma 90.00
loop_
_atom_site_label
_atom_site_type_symbol
_atom_site_fract_x
_atom_site_fract_y
_atom_site_fract_z
Dy1 Dy 0.000 0.000 0.000
Be1 Be 0.000 0.500 0.500
Ir1 Ir 0.500 0.500 0.500

***

(3)
# Dy2Be4Ir5 (PBE, relaxed)
# **VASP energy**: -6.88 eV/atom
# **Crystal system**: orthorhombic
# **N(E_F)**: 5.531 states/eV/f.u.
data_Dy2Be4Ir5
_space_group_name_H-M_alt 'F m m m'
_space_group_IT_number 69
_space_group_name_Hall '-F 2 2'
_cell_length_a 5.675
_cell_length_b 9.391
_cell_length_c 12.428
_cell_angle_alpha 90.00
_cell_angle_beta 90.00
_cell_angle_gamma 90.00
loop_
_atom_site_label
_atom_site_type_symbol
_atom_site_fract_x
_atom_site_fract_y
_atom_site_fract_z
Dy1 Dy 0.000 0.000 0.135
Be1 Be 0.000 0.158 0.368
Ir1 Ir 0.000 0.000 0.500
Ir2 Ir 0.250 0.250 0.000
Ir3 Ir 0.250 0.250 0.250

***

(4)
# DyBe2Ir (PBE, relaxed)
# **Crystal system**: trigonal
# **N(E_F)**: 2.734 states/eV/f.u.
# **Relative energy among the computed polymorphs**: 0.0 meV/atom
data_DyBe2Ir
_space_group_name_H-M_alt 'R -3 m'
_space_group_IT_number 166
_space_group_name_Hall '-R 3 2"'
_cell_length_a 3.8792
_cell_length_b 3.8792
_cell_length_c 14.3980
_cell_angle_alpha 90.00
_cell_angle_beta 90.00
_cell_angle_gamma 120.00
loop_
_atom_site_label
_atom_site_type_symbol
_atom_site_fract_x
_atom_site_fract_y
_atom_site_fract_z
Dy1 Dy 0.0000 0.0000 0.0000
Be1 Be 0.0000 0.0000 0.1968
Ir1 Ir 0.0000 0.0000 0.5000

***

(5)
# DyBe2Ir2 (PBE, relaxed)
# **Crystal system**: tetragonal
# **N(E_F)**: 2.132 states/eV/f.u.
# **Relative energy among the computed polymorphs**: 15.7 meV/atom
data_DyBe2Ir2
_space_group_name_H-M_alt 'P 4/n m m'
_space_group_IT_number 129
_cell_length_a 4.005
_cell_length_b 4.005
_cell_length_c 9.236
_cell_angle_alpha 90.00
_cell_angle_beta 90.00
_cell_angle_gamma 90.00
loop_
_space_group_symop_operation_xyz
'x,y,z'
'-x,-y,-z'
'-y+1/2,x,z'
'y+1/2,-x,-z'
'-x+1/2,-y+1/2,z'
'x+1/2,y+1/2,-z'
'y,-x+1/2,z'
'-y,x+1/2,-z'
'x+1/2,-y,-z'
'-x+1/2,y,z'
'-y,-x,-z'
'y,x,z'
'-x,y+1/2,-z'
'x,-y+1/2,z'
'y+1/2,x+1/2,-z'
'-y+1/2,-x+1/2,z'
loop_
_atom_site_label
_atom_site_type_symbol
_atom_site_fract_x
_atom_site_fract_y
_atom_site_fract_z
Dy1 Dy 0.250 0.250 0.248
Be1 Be 0.250 0.250 0.875
Be2 Be 0.250 0.750 0.500
Ir1 Ir 0.250 0.250 0.623
Ir2 Ir 0.250 0.750 0.000

***

(6)
# DyBe2Ir2 (PBE, relaxed)
# **Crystal system**: tetragonal
# **N(E_F)**: 1.606 states/eV/f.u.
# **Relative energy among the computed polymorphs**: 0.0 meV/atom
data_DyBe2Ir2
_space_group_name_H-M_alt 'I 4/m m m'
_space_group_IT_number 139
_space_group_name_Hall '-I 4 2'
_cell_length_a 4.169
_cell_length_b 4.169
_cell_length_c 8.742
_cell_angle_alpha 90.00
_cell_angle_beta 90.00
_cell_angle_gamma 90.00
loop_
_atom_site_label
_atom_site_type_symbol
_atom_site_fract_x
_atom_site_fract_y
_atom_site_fract_z
Dy1 Dy 0.000 0.000 0.000
Be1 Be 0.000 0.000 0.351
Ir1 Ir 0.000 0.500 0.250

***

(7)
# DyBe6Ir2 (PBE, relaxed)
# **VASP energy**: -5.33 eV/atom
# **Crystal system**: orthorhombic
# **N(E_F)**: 4.137 states/eV/f.u.
data_DyBe6Ir2
_space_group_name_H-M_alt 'I m m m'
_space_group_IT_number 71
_space_group_name_Hall '-I 2 2'
_cell_length_a 3.675
_cell_length_b 6.179
_cell_length_c 9.738
_cell_angle_alpha 90.00
_cell_angle_beta 90.00
_cell_angle_gamma 90.00
loop_
_atom_site_label
_atom_site_type_symbol
_atom_site_fract_x
_atom_site_fract_y
_atom_site_fract_z
Dy1 Dy 0.000 0.000 0.000
Be1 Be 0.000 0.159 0.500
Be2 Be 0.000 0.207 0.287
Ir1 Ir 0.000 0.500 0.139

***

(8)
# DyBe4Ir (PBE, relaxed)
# **VASP energy**: -5.10 eV/atom
# **Crystal system**: cubic
data_DyBe4Ir
_space_group_name_H-M_alt 'F -4 3 m'
_space_group_IT_number 216
_space_group_name_Hall 'F -4 2 3'
_cell_length_a 6.607
_cell_length_b 6.607
_cell_length_c 6.607
_cell_angle_alpha 90.00
_cell_angle_beta 90.00
_cell_angle_gamma 90.00
loop_
_atom_site_label
_atom_site_type_symbol
_atom_site_fract_x
_atom_site_fract_y
_atom_site_fract_z
Dy1 Dy 0.000 0.000 0.000
Be1 Be 0.122 0.122 0.378
Ir1 Ir 0.250 0.250 0.750